Record 1
Ho2GaAu8 GGA-PBE optimized geometry; volume = 19.97 Å³/atom; density = 14.93 Mg/m³; ΔH_f (0 K) = -517 meV/atom
1.0
5.017 0.000 0.000
0.000 6.705 -0.144
-2.508 -3.217 6.601
Au Ho Ga
8 2 1
Direct
0.625 0.415 0.249
0.376 0.167 0.751
0.624 0.833 0.249
0.375 0.585 0.751
0.000 0.724 0.000
0.000 0.276 0.000
0.174 0.174 0.348
0.826 0.826 0.652
0.203 0.704 0.407
0.797 0.296 0.593
0.500 0.000 0.000

---

Record 2
OsAu3F GGA-PBE optimized geometry; E_form (uncorrected) = 1181 meV per atom; volume = 18.16 Å³/atom; density = 14.63 Mg/m³
1.0
-1.724 -2.605 -3.232
-0.034 -3.490 2.832
-4.151 1.110 1.319
Au F Os
3 1 1
Direct
0.000 0.500 0.000
0.500 0.000 0.000
0.000 0.000 0.500
0.000 0.000 0.000
0.500 0.500 0.500

---

Record 3
Ce2SbO3 GGA-PBE optimized geometry; E_form (uncorrected) = -2531 meV per atom; volume = 17.40 Å³/atom; density = 7.16 Mg/m³
1.0
3.247 0.000 0.000
0.000 5.277 -3.047
0.000 0.000 6.094
O Ce Sb
3 2 1
Direct
0.500 0.500 0.500
0.500 0.000 0.500
0.500 0.500 0.000
0.000 0.667 0.333
0.000 0.333 0.667
0.000 0.000 0.000

---

Record 4
BaInAu5 GGA-PBE optimized geometry; volume = 22.72 Å³/atom; density = 12.92 Mg/m³; ΔH_f (0 K) = -417 meV/atom
1.0
-3.528 -3.957 2.466
-3.687 -1.946 -8.397
8.049 -8.197 -1.635
Au Ba In
20 4 4
Direct
0.250 0.587 0.020
0.250 0.427 0.415
0.750 0.413 0.980
0.992 0.427 0.196
0.250 0.173 0.239
0.992 0.927 0.304
0.508 0.927 0.304
0.750 0.827 0.761
0.492 0.573 0.804
0.508 0.427 0.196
0.008 0.573 0.804
0.250 0.673 0.261
0.750 0.573 0.585
0.492 0.073 0.696
0.250 0.087 0.480
0.250 0.927 0.085
0.750 0.913 0.520
0.750 0.073 0.915
0.008 0.073 0.696
0.750 0.327 0.739
0.750 0.257 0.442
0.250 0.743 0.558
0.750 0.757 0.058
0.250 0.243 0.942
0.750 0.146 0.146
0.250 0.854 0.854
0.750 0.646 0.354
0.250 0.354 0.646

---

Record 5
ErMn2GeC GGA-PBE optimized geometry; volume = 14.15 Å³/atom; density = 8.49 Mg/m³; ΔH_f (0 K) = -410 meV/atom
1.0
3.708 0.000 0.000
-1.854 5.351 0.000
0.000 0.000 7.132
Ge C Er Mn
2 2 2 4
Direct
0.739 0.478 0.750
0.261 0.522 0.250
0.000 0.000 0.000
0.000 0.000 0.500
0.460 0.920 0.750
0.540 0.080 0.250
0.165 0.331 0.561
0.165 0.331 0.939
0.835 0.669 0.439
0.835 0.669 0.061

---

Record 6
CaBe2Re GGA-PBE optimized geometry; volume = 13.83 Å³/atom; density = 7.34 Mg/m³; ΔH_f (0 K) = 515 meV/atom
1.0
-0.151 3.261 3.125
-4.413 -0.771 0.591
0.575 -1.817 1.924
Be Re Ca
2 1 1
Direct
0.500 0.500 0.000
0.000 0.000 0.000
0.000 0.500 0.500
0.500 0.000 0.500

---

Record 7
Ta2AlW GGA-PBE optimized geometry; volume = 17.30 Å³/atom; density = 13.74 Mg/m³; ΔH_f (0 K) = 192 meV/atom
1.0
-1.969 -9.517 1.742
-0.394 -8.985 4.075
-3.200 -8.404 4.078
W Ta Al
1 2 1
Direct
0.496 0.496 0.496
0.248 0.248 0.248
0.004 0.004 0.004
0.752 0.752 0.752

---

Record 8
NaZnAgTe2 GGA-PBE optimized geometry; E_form (uncorrected) = -373 meV per atom; volume = 30.32 Å³/atom; density = 4.95 Mg/m³
1.0
5.582 0.000 0.000
0.000 7.152 0.463
0.000 -1.652 7.487
Ag Na Te Zn
2 2 4 2
Direct
0.573 0.000 0.250
0.427 0.000 0.750
0.843 0.500 0.250
0.157 0.500 0.750
0.708 0.737 0.946
0.708 0.263 0.554
0.292 0.737 0.446
0.292 0.263 0.054
0.000 0.000 0.500
0.000 0.000 0.000

---

Record 9
CoTePd2Pt GGA-PBE optimized geometry; E_form (uncorrected) = 930 meV per atom; volume = 21.85 Å³/atom; density = 9.03 Mg/m³
1.0
-0.486 4.786 -0.753
-3.761 0.037 2.664
2.772 0.895 3.902
Pd Pt Te Co
2 1 1 1
Direct
0.500 0.000 0.000
0.000 0.000 0.500
0.500 0.500 0.500
0.000 0.000 0.000
0.000 0.500 0.000

---

Record 10
Sc3PaZn2 GGA-PBE optimized geometry; volume = 20.64 Å³/atom; density = 6.66 Mg/m³; ΔH_f (0 K) = -203 meV/atom
1.0
-2.027 -1.956 1.631
2.353 -2.236 0.243
3.500 4.776 10.076
Sc Zn Pa
3 2 1
Direct
0.000 0.000 0.700
0.000 0.000 0.300
0.000 0.000 0.000
0.500 0.500 0.150
0.500 0.500 0.850
0.500 0.500 0.500

---

Record 11
Be2TcIr GGA-PBE optimized geometry; volume = 11.99 Å³/atom; density = 10.68 Mg/m³; ΔH_f (0 K) = -77 meV/atom
1.0
-0.552 -0.622 -7.595
-1.834 -2.897 -6.829
-3.187 -0.538 -6.924
Ir Tc Be
1 1 2
Direct
0.250 0.250 0.250
0.750 0.750 0.750
0.503 0.503 0.503
0.997 0.997 0.997

---

Record 12
Dy4PS2Cl GGA-PBE optimized geometry; E_form (uncorrected) = -1753 meV per atom; volume = 21.90 Å³/atom; density = 7.40 Mg/m³
1.0
3.957 0.000 0.000
0.000 6.826 -0.125
0.000 2.413 6.442
S P Dy Cl
2 1 4 1
Direct
0.500 0.000 0.500
0.000 0.000 0.000
0.000 0.500 0.500
0.500 0.756 0.270
0.000 0.227 0.280
0.000 0.773 0.720
0.500 0.244 0.730
0.500 0.500 0.000

---

Record 13
Y2Np2Ni15 GGA-PBE optimized geometry; volume = 13.63 Å³/atom; density = 9.82 Mg/m³; ΔH_f (0 K) = -214 meV/atom
1.0
6.434 0.040 0.036
0.874 6.375 0.036
0.874 0.767 6.328
Ni Np Y
15 2 2
Direct
0.000 0.000 0.500
0.000 0.684 0.316
0.000 0.316 0.684
0.658 0.161 0.658
0.316 0.684 0.000
0.658 0.658 0.161
0.839 0.342 0.342
0.316 0.000 0.684
0.000 0.500 0.000
0.342 0.342 0.839
0.161 0.658 0.658
0.342 0.839 0.342
0.684 0.316 0.000
0.500 0.000 0.000
0.684 0.000 0.316
0.909 0.909 0.909
0.091 0.091 0.091
0.356 0.356 0.356
0.644 0.644 0.644

---

Record 14
SrSc2Te GGA-PBE optimized geometry; E_form (uncorrected) = -323 meV per atom; volume = 31.27 Å³/atom; density = 4.05 Mg/m³
1.0
5.391 -0.012 -0.039
4.030 3.581 -0.039
1.555 0.589 6.448
Sr Te Sc
1 1 2
Direct
0.518 0.518 0.486
0.260 0.260 0.166
0.732 0.732 0.840
0.989 0.989 0.008

---

Record 15
SrLi2ScRu GGA-PBE optimized geometry; volume = 20.37 Å³/atom; density = 4.04 Mg/m³; ΔH_f (0 K) = 1519 meV/atom
1.0
4.343 0.000 0.000
0.000 5.400 0.000
0.000 0.000 4.343
Li Sc Sr Ru
2 1 1 1
Direct
0.500 0.000 0.000
0.000 0.000 0.500
0.000 0.500 0.000
0.000 0.000 0.000
0.500 0.500 0.500

---

Record 16
MnAlMoPt GGA-PBE optimized geometry; volume = 14.35 Å³/atom; density = 10.79 Mg/m³; ΔH_f (0 K) = -424 meV/atom
1.0
-4.095 1.347 0.415
-2.697 -0.196 -3.383
-3.238 -2.875 -0.024
Pt Mo Al Mn
1 1 1 1
Direct
0.750 0.750 0.750
0.250 0.250 0.250
0.000 0.000 0.000
0.500 0.500 0.500

---

Record 17
Sc5Zn2Cu12 GGA-PBE optimized geometry; volume = 15.26 Å³/atom; density = 6.40 Mg/m³; ΔH_f (0 K) = -163 meV/atom
1.0
-5.577 0.848 2.923
3.148 2.665 5.232
0.895 7.564 -0.150
Cu Sc Zn
12 5 2
Direct
0.347 0.804 0.785
0.347 0.411 0.785
0.097 0.110 0.780
0.653 0.196 0.215
0.248 0.044 0.287
0.752 0.956 0.713
0.248 0.669 0.287
0.752 0.331 0.713
0.903 0.890 0.220
0.328 0.446 0.108
0.653 0.589 0.215
0.672 0.554 0.892
0.443 0.245 0.511
0.557 0.755 0.489
0.500 0.000 0.000
0.963 0.301 0.398
0.037 0.699 0.602
0.000 0.293 0.000
0.000 0.707 0.000

---

Record 18
CeInGaPd3 GGA-PBE optimized geometry; volume = 20.99 Å³/atom; density = 8.49 Mg/m³; ΔH_f (0 K) = -485 meV/atom
1.0
-3.958 -2.077 3.740
-1.908 -4.801 -4.685
5.176 -1.515 4.636
Pd Ga Ce In
6 2 2 2
Direct
0.000 0.302 0.000
0.250 0.166 0.331
0.750 0.834 0.669
0.500 0.698 0.000
0.500 0.302 0.000
0.000 0.698 0.000
0.750 0.632 0.264
0.250 0.368 0.736
0.750 0.313 0.627
0.250 0.687 0.373
0.250 0.936 0.873
0.750 0.064 0.127

---

Record 19
Ga3SI GGA-PBE optimized geometry; E_form (uncorrected) = 57 meV per atom; volume = 31.78 Å³/atom; density = 3.85 Mg/m³
1.0
5.416 0.000 0.000
0.000 5.416 0.000
0.000 0.000 5.416
Ga S I
3 1 1
Direct
0.500 0.000 0.000
0.000 0.500 0.000
0.000 0.000 0.500
0.000 0.000 0.000
0.500 0.500 0.500

---

Record 20
K4AcU3S12 GGA-PBE optimized geometry; E_form (uncorrected) = -1345 meV per atom; volume = 29.82 Å³/atom; density = 4.13 Mg/m³
1.0
-1.958 7.655 -4.682
-7.330 -2.541 4.917
7.071 1.586 5.642
S K U Ac
12 4 3 1
Direct
0.000 0.268 0.268
0.268 0.268 0.000
0.500 0.250 0.750
0.732 0.000 0.732
0.250 0.750 0.500
0.000 0.732 0.732
0.250 0.500 0.750
0.750 0.500 0.250
0.732 0.732 0.000
0.750 0.250 0.500
0.500 0.750 0.250
0.268 0.000 0.268
0.000 0.500 0.000
0.500 0.500 0.500
0.500 0.000 0.000
0.000 0.000 0.500
0.500 0.000 0.500
0.500 0.500 0.000
0.000 0.500 0.500
0.000 0.000 0.000

---

Record 21
Li6SiPd2 GGA-PBE optimized geometry; E_form (uncorrected) = -310 meV per atom; volume = 14.41 Å³/atom; density = 3.62 Mg/m³
1.0
4.923 0.000 1.720
0.000 7.648 0.000
2.135 0.000 7.636
Li Pd Si
12 4 2
Direct
0.015 0.656 0.960
0.990 0.676 0.633
0.024 0.987 0.159
0.510 0.176 0.867
0.985 0.344 0.040
0.515 0.844 0.460
0.524 0.513 0.659
0.490 0.824 0.133
0.485 0.156 0.540
0.976 0.013 0.841
0.476 0.487 0.341
0.010 0.324 0.367
0.481 0.145 0.213
0.519 0.855 0.787
0.019 0.645 0.287
0.981 0.355 0.713
0.500 0.500 0.000
0.000 0.000 0.500

---

Record 22
SrTaAsSe2 GGA-PBE optimized geometry; E_form (uncorrected) = -790 meV per atom; volume = 26.33 Å³/atom; density = 6.32 Mg/m³
1.0
-4.821 -1.282 1.105
1.683 -3.982 2.723
0.175 2.895 4.125
Se Ta Sr As
2 1 1 1
Direct
0.000 0.500 0.000
0.500 0.000 0.000
0.000 0.000 0.000
0.500 0.500 0.500
0.000 0.000 0.500